[1]
BeSiW: optimized geometry, PBE.

Lattice parameters (Å, degrees): 4.6457 4.6457 4.6457 145.45 138.15 55.36
Element x y z (fractional)
Be 0.9918 0.9918 0.0000
Si 0.3461 0.3461 0.0000
W 0.6622 0.6622 0.0000

Properties
Its formation energy (no corrections) is 0.042 eV/atom. The value obtained for the energy above the most stable polymorph in this dataset is 0 meV per atom.

=====

[2]
CdMo2P: optimized geometry, PBE.

Lattice parameters (Å, degrees): 5.1562 5.1562 2.8308 79.62 79.62 114.07
Element x y z (fractional)
Cd 0.5000 0.5000 0.5000
Mo 0.0000 0.5000 0.0000
Mo 0.5000 0.0000 0.0000
P 0.0000 0.0000 0.5000

Properties
The formation energy from the elements is 0.51 eV per atom. The value obtained for the energy above the most stable polymorph in this dataset is 508 meV per atom.

=====

[3]
Hf2TaSi2: optimized geometry, PBE.

Lattice parameters (Å, degrees): 6.8270 6.8270 3.7092 90.00 90.00 90.00
Element x y z (fractional)
Si 0.3744 0.8744 0.0000
Si 0.8744 0.6256 0.0000
Si 0.6256 0.1256 0.0000
Si 0.1256 0.3744 0.0000
Hf 0.1748 0.6748 0.5000
Hf 0.6748 0.8252 0.5000
Hf 0.8252 0.3252 0.5000
Hf 0.3252 0.1748 0.5000
Ta 0.0000 0.0000 0.0000
Ta 0.5000 0.5000 0.0000

Properties
Its formation energy (no corrections) is -0.795 eV/atom.

=====

[4]
NaGaTe2: optimized geometry, PBE.

Lattice parameters (Å, degrees): 4.1080 4.1080 8.1419 75.39 75.39 60.00
Element x y z (fractional)
Na 0.5004 0.5004 0.4987
Ga 0.6665 0.6665 0.0004
Te 0.0690 0.0690 0.7929
Te 0.2640 0.2640 0.2080

Properties
Its formation energy (no corrections) is -0.428 eV/atom.

=====

[5]
TlAsSe2F: optimized geometry, PBE.

Lattice parameters (Å, degrees): 5.3310 5.3310 5.4864 90.00 90.00 90.00
Element x y z (fractional)
Tl 0.0000 0.0000 0.0000
As 0.0000 0.0000 0.5000
Se 0.0000 0.5000 0.0000
Se 0.5000 0.0000 0.0000
F 0.5000 0.5000 0.5000

Properties
Its formation energy (no corrections) is 0.776 eV/atom. The value obtained for the energy above the most stable polymorph in this dataset is 670 meV per atom.

=====

[6]
Tb6Tl5Sb: optimized geometry, PBE.

Lattice parameters (Å, degrees): 9.6667 5.1761 8.2372 71.69 80.33 57.68
Element x y z (fractional)
Tb 0.7483 0.0886 0.3261
Tb 0.2517 0.5853 0.3261
Tb 0.2426 0.2576 0.0000
Tb 0.7574 0.7424 0.0000
Tb 0.7483 0.4147 0.6739
Tb 0.2517 0.9114 0.6739
Tl 0.5000 0.1663 0.6674
Tl 0.0000 0.3241 0.3517
Tl 0.5000 0.5000 0.0000
Tl 0.0000 0.6759 0.6483
Tl 0.5000 0.8337 0.3326
Sb 0.0000 0.0000 0.0000

Properties
Its formation energy (no corrections) is -0.427 eV/atom.

=====

Repeat the third record exactly.
Hf2TaSi2: optimized geometry, PBE.

Lattice parameters (Å, degrees): 6.8270 6.8270 3.7092 90.00 90.00 90.00
Element x y z (fractional)
Si 0.3744 0.8744 0.0000
Si 0.8744 0.6256 0.0000
Si 0.6256 0.1256 0.0000
Si 0.1256 0.3744 0.0000
Hf 0.1748 0.6748 0.5000
Hf 0.6748 0.8252 0.5000
Hf 0.8252 0.3252 0.5000
Hf 0.3252 0.1748 0.5000
Ta 0.0000 0.0000 0.0000
Ta 0.5000 0.5000 0.0000

Properties
Its formation energy (no corrections) is -0.795 eV/atom.